First-principles (GGA-PBE) data for a relaxed structure of Pm2PuMgN4, as listed in Alexandria.

The structure belongs to space group P2/m (No. 10); the cell edges are 5.879, 3.546 and 5.971 Å and the angles 90.00°, 107.86° and 90.00°. Symmetry generates all atoms from Pm at (0.000, 0.000, 0.000), Pm at (0.500, 0.500, 0.000), Pu at (0.000, 0.500, 0.500), Mg at (0.500, 0.000, 0.500), N at (0.234, 0.500, 0.270) and N at (0.244, 0.000, 0.733).

The size of the total moment is 3.931 μB per formula unit. The value obtained for the uncorrected formation energy is -1147.0 meV/atom. The volume comes out at 14.8 Å³/atom. The calculation puts the total energy at -8.49 eV per atom. The crystal system is monoclinic.